Below is a relaxed structure of MnGaPH, with properties calculated at the PBE-GGA level.

Properties
As for the electronic total energy: -21.3 eV/cell. Its size of the total moment is 0.00 μB/atom. The distance to the lowest polymorph of the same formula comes out at 10 kJ/mol of formula units.

Cell: 3.0310 4.1026 4.6434 Å, 69.20 70.97 68.33°
Space group P1 (No. 1)
Asymmetric unit:
Mn  0.0000  0.0000  0.0000 [1 per cell]
Ga  0.7151  0.0177  0.5517 [1 per cell]
P  0.3049  0.4162  0.9743 [1 per cell]
H  0.0111  0.6621  0.3190 [1 per cell]